(1)
## Zn3P2S8 (GGA-PBE)

Data for an optimized crystal structure of Zn3P2S8.

```
data_Zn3P2S8
_chemical_formula_sum 'Zn6 P4 S16'
_cell_length_a 7.9038
_cell_length_b 7.9038
_cell_length_c 9.1867
_cell_angle_alpha 90.00
_cell_angle_beta 90.00
_cell_angle_gamma 90.00
_space_group_name_H-M_alt 'P -4 n 2'
_space_group_IT_number 118
loop_
_space_group_symop_operation_xyz
'x,y,z'
'y,-x,-z'
'-x,-y,z'
'-y,x,-z'
'-x+1/2,y+1/2,z+1/2'
'-y+1/2,-x+1/2,-z+1/2'
'x+1/2,-y+1/2,z+1/2'
'y+1/2,x+1/2,-z+1/2'
loop_
_atom_site_label
_atom_site_type_symbol
_atom_site_fract_x
_atom_site_fract_y
_atom_site_fract_z
Zn1 Zn 0.0000 0.0000 0.0000
Zn2 Zn 0.0000 0.5000 0.0161
P1 P 0.2424 0.2576 0.2500
S1 S 0.0235 0.7485 0.8609
S2 S 0.0328 0.2364 0.3751
```

Computed properties:
DOS(E_F) (states/eV/atom): 0.00
Size of the total moment (μB per formula unit): 0.000
ΔE_f (raw) (kJ per mole of atoms): -44.1

(2)
## PmCdPt (GGA-PBE)

Data for an optimized crystal structure of PmCdPt.

```
data_PmCdPt
_chemical_formula_sum 'Pm4 Cd4 Pt4'
_cell_length_a 6.7818
_cell_length_b 6.7818
_cell_length_c 6.7818
_cell_angle_alpha 90.00
_cell_angle_beta 90.00
_cell_angle_gamma 90.00
_space_group_name_H-M_alt 'F -4 3 m'
_space_group_IT_number 216
_space_group_name_Hall 'F -4 2 3'
loop_
_atom_site_label
_atom_site_type_symbol
_atom_site_fract_x
_atom_site_fract_y
_atom_site_fract_z
Pm1 Pm 0.0000 0.0000 0.0000
Cd1 Cd 0.0000 0.0000 0.5000
Pt1 Pt 0.2500 0.2500 0.2500
```

Computed properties:
DOS(E_F) (states/eV/atom): 0.75
Size of the total moment (μB per formula unit): 0.000
ΔE_f (eV per atom): -0.74

(3)
## LaPdAu3 (GGA-PBE)

Data for an optimized crystal structure of LaPdAu3.

```
data_LaPdAu3
_chemical_formula_sum 'La2 Pd2 Au6'
_cell_length_a 5.4699
_cell_length_b 5.5868
_cell_length_c 7.3485
_cell_angle_alpha 90.00
_cell_angle_beta 109.22
_cell_angle_gamma 90.00
_space_group_name_H-M_alt 'P 1 21/m 1'
_space_group_IT_number 11
loop_
_space_group_symop_operation_xyz
'x,y,z'
'-x,-y,-z'
'-x,y+1/2,-z'
'x,-y+1/2,z'
loop_
_atom_site_label
_atom_site_type_symbol
_atom_site_fract_x
_atom_site_fract_y
_atom_site_fract_z
La1 La 0.2405 0.2500 0.1653
Pd1 Pd 0.3659 0.7500 0.0413
Au1 Au 0.1917 0.0057 0.6946
Au2 Au 0.3315 0.7500 0.4013
```

Computed properties:
DOS(E_F) (states/eV/atom): 0.36
Size of the total moment (μB per formula unit): 0.000
ΔE_f (eV per atom): -0.59

(4)
## Rb2CdPt2 (GGA-PBE)

Data for an optimized crystal structure of Rb2CdPt2.

```
data_Rb2CdPt2
_chemical_formula_sum 'Rb4 Cd2 Pt4'
_cell_length_a 7.0587
_cell_length_b 7.0587
_cell_length_c 5.5753
_cell_angle_alpha 90.00
_cell_angle_beta 90.00
_cell_angle_gamma 90.00
_space_group_name_H-M_alt 'P 4/m b m'
_space_group_IT_number 127
_space_group_name_Hall '-P 4 2ab'
loop_
_atom_site_label
_atom_site_type_symbol
_atom_site_fract_x
_atom_site_fract_y
_atom_site_fract_z
Rb1 Rb 0.1749 0.3251 0.0000
Cd1 Cd 0.0000 0.0000 0.5000
Pt1 Pt 0.1295 0.6295 0.5000
```

Computed properties:
DOS(E_F) (states/eV/atom): 0.22
Size of the total moment (μB per formula unit): 0.000
ΔE_f (eV per atom): -0.03

(5)
## ScHg2Br (GGA-PBE)

Data for an optimized crystal structure of ScHg2Br.

```
data_ScHg2Br
_chemical_formula_sum 'Sc1 Hg2 Br1'
_cell_length_a 4.1165
_cell_length_b 3.6522
_cell_length_c 7.9172
_cell_angle_alpha 90.00
_cell_angle_beta 104.96
_cell_angle_gamma 90.00
_space_group_name_H-M_alt 'P 1 m 1'
_space_group_IT_number 6
loop_
_space_group_symop_operation_xyz
'x,y,z'
'x,-y,z'
loop_
_atom_site_label
_atom_site_type_symbol
_atom_site_fract_x
_atom_site_fract_y
_atom_site_fract_z
Sc1 Sc 0.0000 0.0000 0.0000
Hg1 Hg 0.1925 0.0000 0.3872
Hg2 Hg 0.5749 0.5000 0.1508
Br1 Br 0.8696 0.5000 0.7392
```

Computed properties:
DOS(E_F) (states/eV/atom): 0.53
Size of the total moment (μB per formula unit): 0.000
ΔE_f (raw) (kJ per mole of atoms): -51.0

(6)
## DyY3Pd3 (GGA-PBE)

Data for an optimized crystal structure of DyY3Pd3.

```
data_DyY3Pd3
_chemical_formula_sum 'Dy4 Y12 Pd12'
_cell_length_a 9.2597
_cell_length_b 10.4331
_cell_length_c 7.1181
_cell_angle_alpha 90.00
_cell_angle_beta 92.09
_cell_angle_gamma 90.00
_space_group_name_H-M_alt 'C 1 2/m 1'
_space_group_IT_number 12
loop_
_space_group_symop_operation_xyz
'x,y,z'
'-x,-y,-z'
'-x,y,-z'
'x,-y,z'
'x+1/2,y+1/2,z'
'-x+1/2,-y+1/2,-z'
'-x+1/2,y+1/2,-z'
'x+1/2,-y+1/2,z'
loop_
_atom_site_label
_atom_site_type_symbol
_atom_site_fract_x
_atom_site_fract_y
_atom_site_fract_z
Dy1 Dy 0.2404 0.0000 0.3763
Y1 Y 0.0000 0.2475 0.5000
Y2 Y 0.0000 0.3234 0.0000
Y3 Y 0.1526 0.0000 0.8662
Pd1 Pd 0.0620 0.5000 0.3094
Pd2 Pd 0.2412 0.2428 0.2193
```

Computed properties:
DOS(E_F) (states/eV/atom): 0.77
Size of the total moment (μB per formula unit): 0.000
ΔE_f (eV per atom): -0.69

(7)
## AsP2PtCl (GGA-PBE)

Data for an optimized crystal structure of AsP2PtCl.

```
data_AsP2PtCl
_chemical_formula_sum 'As1 P2 Pt1 Cl1'
_cell_length_a 4.7701
_cell_length_b 4.7701
_cell_length_c 4.5626
_cell_angle_alpha 90.00
_cell_angle_beta 90.00
_cell_angle_gamma 90.00
_space_group_name_H-M_alt 'P 4/m m m'
_space_group_IT_number 123
_space_group_name_Hall '-P 4 2'
loop_
_atom_site_label
_atom_site_type_symbol
_atom_site_fract_x
_atom_site_fract_y
_atom_site_fract_z
As1 As 0.0000 0.0000 0.0000
P1 P 0.0000 0.5000 0.0000
Pt1 Pt 0.5000 0.5000 0.5000
Cl1 Cl 0.0000 0.0000 0.5000
```

Computed properties:
DOS(E_F) (states/eV/atom): 0.68
Size of the total moment (μB per formula unit): 0.000
ΔE_f (raw) (kJ per mole of atoms): 105.1

(8)
## RbBa2Li2P2 (GGA-PBE)

Data for an optimized crystal structure of RbBa2Li2P2.

```
data_RbBa2Li2P2
_chemical_formula_sum 'Rb3 Ba6 Li6 P6'
_cell_length_a 4.5243
_cell_length_b 4.5243
_cell_length_c 40.7393
_cell_angle_alpha 90.00
_cell_angle_beta 90.00
_cell_angle_gamma 120.00
_space_group_name_H-M_alt 'R -3 m'
_space_group_IT_number 166
_space_group_name_Hall '-R 3 2"'
loop_
_atom_site_label
_atom_site_type_symbol
_atom_site_fract_x
_atom_site_fract_y
_atom_site_fract_z
Rb1 Rb 0.0000 0.0000 0.0000
Ba1 Ba 0.0000 0.0000 0.1095
Li1 Li 0.0000 0.0000 0.3899
P1 P 0.0000 0.0000 0.2679
```

Computed properties:
DOS(E_F) (states/eV/atom): 0.28
Size of the total moment (μB per formula unit): 0.001
ΔE_f (eV per atom): -0.64

(9)
## Sm3Mg7Hg4 (GGA-PBE)

Data for an optimized crystal structure of Sm3Mg7Hg4.

```
data_Sm3Mg7Hg4
_chemical_formula_sum 'Sm6 Mg14 Hg8'
_cell_length_a 17.5035
_cell_length_b 4.4589
_cell_length_c 10.8712
_cell_angle_alpha 90.00
_cell_angle_beta 125.77
_cell_angle_gamma 90.00
_space_group_name_H-M_alt 'C 1 2/m 1'
_space_group_IT_number 12
loop_
_space_group_symop_operation_xyz
'x,y,z'
'-x,-y,-z'
'-x,y,-z'
'x,-y,z'
'x+1/2,y+1/2,z'
'-x+1/2,-y+1/2,-z'
'-x+1/2,y+1/2,-z'
'x+1/2,-y+1/2,z'
loop_
_atom_site_label
_atom_site_type_symbol
_atom_site_fract_x
_atom_site_fract_y
_atom_site_fract_z
Sm1 Sm 0.0000 0.0000 0.0000
Sm2 Sm 0.1920 0.5000 0.6988
Mg1 Mg 0.0000 0.0000 0.5000
Mg2 Mg 0.0109 0.5000 0.3006
Mg3 Mg 0.1634 0.0000 0.4322
Mg4 Mg 0.1779 0.5000 0.0180
Hg1 Hg 0.1190 0.0000 0.8302
Hg2 Hg 0.1549 0.5000 0.2534
```

Computed properties:
DOS(E_F) (states/eV/atom): 0.76
Size of the total moment (μB per formula unit): 0.000
ΔE_f (eV per atom): -0.29

(10)
## LaIrRu (GGA-PBE)

Data for an optimized crystal structure of LaIrRu.

```
data_LaIrRu
_chemical_formula_sum 'La4 Ir4 Ru4'
_cell_length_a 6.4099
_cell_length_b 6.4099
_cell_length_c 6.4099
_cell_angle_alpha 90.00
_cell_angle_beta 90.00
_cell_angle_gamma 90.00
_space_group_name_H-M_alt 'F -4 3 m'
_space_group_IT_number 216
_space_group_name_Hall 'F -4 2 3'
loop_
_atom_site_label
_atom_site_type_symbol
_atom_site_fract_x
_atom_site_fract_y
_atom_site_fract_z
La1 La 0.0000 0.0000 0.0000
Ir1 Ir 0.2500 0.2500 0.2500
Ru1 Ru 0.2500 0.2500 0.7500
```

Computed properties:
DOS(E_F) (states/eV/atom): 2.04
Size of the total moment (μB per formula unit): 0.002
ΔE_f (eV per atom): 0.75

(11)
## ScRuPb2O6 (GGA-PBE)

Data for an optimized crystal structure of ScRuPb2O6.

```
data_ScRuPb2O6
_chemical_formula_sum 'Sc2 Ru2 Pb4 O12'
_cell_length_a 5.7439
_cell_length_b 5.7238
_cell_length_c 9.8900
_cell_angle_alpha 90.00
_cell_angle_beta 125.29
_cell_angle_gamma 90.00
_space_group_name_H-M_alt 'P 1 21/c 1'
_space_group_IT_number 14
loop_
_space_group_symop_operation_xyz
'x,y,z'
'-x,-y,-z'
'-x,y+1/2,-z+1/2'
'x,-y+1/2,z+1/2'
loop_
_atom_site_label
_atom_site_type_symbol
_atom_site_fract_x
_atom_site_fract_y
_atom_site_fract_z
Sc1 Sc 0.0000 0.0000 0.0000
Ru1 Ru 0.5000 0.0000 0.5000
Pb1 Pb 0.2578 0.0184 0.7506
O1 O 0.1973 0.0082 0.2588
O2 O 0.2708 0.7204 0.0337
O3 O 0.3151 0.2350 0.0334
```

Computed properties:
DOS(E_F) (states/eV/atom): 0.29
Size of the total moment (μB per formula unit): 2.716
ΔE_f (raw) (kJ per mole of atoms): -157.9

(12)
## ErThGePt (GGA-PBE)

Data for an optimized crystal structure of ErThGePt.

```
data_ErThGePt
_chemical_formula_sum 'Er2 Th2 Ge2 Pt2'
_cell_length_a 4.4325
_cell_length_b 4.4325
_cell_length_c 10.6979
_cell_angle_alpha 90.00
_cell_angle_beta 90.00
_cell_angle_gamma 90.00
_space_group_name_H-M_alt 'P 4/n m m'
_space_group_IT_number 129
loop_
_space_group_symop_operation_xyz
'x,y,z'
'-x,-y,-z'
'-y+1/2,x,z'
'y+1/2,-x,-z'
'-x+1/2,-y+1/2,z'
'x+1/2,y+1/2,-z'
'y,-x+1/2,z'
'-y,x+1/2,-z'
'x+1/2,-y,-z'
'-x+1/2,y,z'
'-y,-x,-z'
'y,x,z'
'-x,y+1/2,-z'
'x,-y+1/2,z'
'y+1/2,x+1/2,-z'
'-y+1/2,-x+1/2,z'
loop_
_atom_site_label
_atom_site_type_symbol
_atom_site_fract_x
_atom_site_fract_y
_atom_site_fract_z
Er1 Er 0.2500 0.7500 0.0000
Th1 Th 0.2500 0.2500 0.3422
Ge1 Ge 0.2500 0.2500 0.6100
Pt1 Pt 0.2500 0.2500 0.8391
```

Computed properties:
DOS(E_F) (states/eV/atom): 1.06
Size of the total moment (μB per formula unit): 0.000
ΔE_f (eV per atom): -0.70